No. 1
Computed, not measured: TmGa4Ir2Ru after structural relaxation at the GGA-PBE level of DFT.

```
TmGa4Ir2Ru
1.0
2.128 1.229 8.293
-2.128 1.229 8.293
0.000 -2.457 8.293
Tm Ga Ir Ru
1 4 2 1
Cartesian
0.000 0.000 0.000
0.000 0.000 3.285
0.000 0.000 9.884
0.000 0.000 14.995
0.000 0.000 21.594
0.000 0.000 6.067
0.000 0.000 18.812
0.000 0.000 12.440
```

Results
The formation energy comes out at -0.541 eV per atom. The value obtained for the density of states at the Fermi level is 2.18 states/eV per cell.

---

No. 2
Computed, not measured: TmPaTe2N after structural relaxation at the GGA-PBE level of DFT.

```
TmPaTe2N
1.0
4.077 0.000 0.000
0.000 4.077 0.000
0.000 0.000 14.664
Tm Pa Te N
2 2 4 2
Cartesian
1.019 1.019 1.269
3.058 3.058 13.395
1.019 1.019 8.446
3.058 3.058 6.218
1.019 1.019 4.495
1.019 1.019 12.844
3.058 3.058 1.820
3.058 3.058 10.169
1.019 3.058 7.332
3.058 1.019 7.332
```

Results
The value obtained for the uncorrected formation energy is -1437.1 meV per atom. The value obtained for the density of states at the Fermi level is 6.93 states/eV per cell.

---

No. 3
Computed, not measured: CaTlCu2 after structural relaxation at the GGA-PBE level of DFT.

```
CaTlCu2
1.0
6.788 0.000 0.000
0.000 6.788 0.000
0.000 0.000 6.788
Ca Tl Cu
4 4 8
Cartesian
0.000 0.000 0.000
0.000 3.394 3.394
3.394 0.000 3.394
3.394 3.394 0.000
0.000 0.000 3.394
0.000 3.394 0.000
3.394 0.000 0.000
3.394 3.394 3.394
1.697 1.697 1.697
1.697 1.697 5.091
1.697 5.091 1.697
1.697 5.091 5.091
5.091 1.697 1.697
5.091 1.697 5.091
5.091 5.091 1.697
5.091 5.091 5.091
```

Results
The formation energy comes out at -0.020 eV per atom. The value obtained for the density of states at the Fermi level is 7.64 states/eV per cell.

---

No. 4
Computed, not measured: LaReSb after structural relaxation at the GGA-PBE level of DFT.

```
LaReSb
1.0
4.642 0.000 0.000
-2.321 4.020 0.000
0.000 0.000 4.019
La Re Sb
1 1 1
Cartesian
0.000 0.000 0.000
2.321 1.340 2.009
0.000 2.680 2.009
```

Results
The value obtained for the uncorrected formation energy is -8.2 meV per atom. The calculation puts the energy above the most stable polymorph in this dataset at 15 meV per atom. The value obtained for the density of states at the Fermi level is 2.66 states/eV per cell.

---

No. 5
Computed, not measured: Ho4InRe after structural relaxation at the GGA-PBE level of DFT.

```
Ho4InRe
1.0
4.357 -6.541 0.000
4.357 6.541 0.000
-1.873 0.000 5.829
Ho In Re
8 2 2
Cartesian
1.633 4.323 5.542
1.265 1.001 3.585
4.271 4.323 3.201
2.202 -1.001 0.671
4.639 1.001 5.158
2.570 -4.323 2.628
5.576 -1.001 2.244
5.208 -4.323 0.287
3.889 1.636 1.457
2.952 -1.636 4.372
3.889 -6.539 1.457
2.952 6.539 4.372
```

Results
The formation energy comes out at -0.203 eV per atom. The value obtained for the density of states at the Fermi level is 11.81 states/eV per cell.

---

No. 6
Computed, not measured: Nb3BiO9 after structural relaxation at the GGA-PBE level of DFT.

```
Nb3BiO9
1.0
5.432 0.000 0.000
0.000 7.635 0.000
-0.314 0.000 8.399
Nb Bi O
6 2 18
Cartesian
0.000 0.000 0.000
0.000 3.817 0.000
2.360 0.054 5.879
2.360 3.763 5.879
2.757 3.871 2.520
2.757 7.581 2.520
0.081 1.909 3.696
5.036 5.726 4.702
0.169 1.909 8.252
0.598 4.262 6.627
0.598 7.190 6.627
1.280 4.111 3.918
1.280 7.341 3.918
1.703 4.208 1.027
1.703 7.244 1.027
1.663 1.909 5.527
2.252 1.909 2.625
2.865 5.726 5.774
3.454 5.726 2.872
3.414 0.391 7.371
3.414 3.427 7.371
3.837 0.294 4.481
3.837 3.523 4.481
4.519 0.445 1.772
4.519 3.373 1.772
4.948 5.726 0.147
```

Results
The value obtained for the uncorrected formation energy is -2304.5 meV per atom. The value obtained for the density of states at the Fermi level is 0.00 states/eV per cell.

---

No. 7
Computed, not measured: Pr6NdDy2Y after structural relaxation at the GGA-PBE level of DFT.

```
Pr6NdDy2Y
1.0
4.678 -7.728 0.000
4.678 7.728 0.000
-1.314 0.000 9.721
Pr Nd Dy Y
12 2 4 2
Cartesian
2.439 4.274 1.804
3.352 4.979 5.390
4.033 4.979 9.192
3.268 1.671 3.705
6.260 4.274 3.057
5.431 1.671 1.156
2.611 -1.671 8.566
1.782 -4.274 6.664
4.774 -1.671 6.016
4.009 -4.979 0.529
4.690 -4.979 4.331
5.603 -4.274 7.917
4.349 7.306 2.430
3.692 -7.306 7.291
2.270 0.747 0.451
1.613 -0.747 5.312
6.429 0.747 4.409
5.772 -0.747 9.270
3.692 1.390 7.291
4.349 -1.390 2.430
```

Results
The formation energy comes out at 0.110 eV per atom. The value obtained for the density of states at the Fermi level is 29.19 states/eV per cell.

---

No. 8
Computed, not measured: Ba2ErTmO5 after structural relaxation at the GGA-PBE level of DFT.

```
Ba2ErTmO5
1.0
1.829 -7.135 0.000
1.829 7.135 0.000
0.000 0.000 12.328
Ba Er Tm O
4 2 2 10
Cartesian
1.829 5.847 6.164
1.829 4.974 1.493
1.829 -4.974 7.657
1.829 -5.847 0.000
1.829 3.952 10.467
1.829 -3.952 4.303
1.829 0.451 3.429
1.829 -0.451 9.593
1.829 6.262 10.618
1.829 3.268 5.821
1.829 2.715 2.964
1.829 1.743 10.172
1.829 0.112 7.551
1.829 -0.112 1.388
1.829 -1.743 4.009
1.829 -2.715 9.128
1.829 -3.268 11.985
1.829 -6.262 4.454
```

Results
The value obtained for the uncorrected formation energy is -3087.0 meV per atom. The value obtained for the density of states at the Fermi level is 0.00 states/eV per cell.

---

No. 9
Computed, not measured: PmPr2CuSe5 after structural relaxation at the GGA-PBE level of DFT.

```
PmPr2CuSe5
1.0
2.061 -9.015 0.000
2.061 9.015 0.000
0.000 0.000 12.245
Pm Pr Cu Se
2 4 2 10
Cartesian
2.061 5.523 6.123
2.061 -5.523 0.000
2.061 7.068 2.141
2.061 6.855 9.803
2.061 -6.855 3.681
2.061 -7.068 8.264
2.061 1.135 11.555
2.061 -1.135 5.432
2.061 8.272 6.729
2.061 3.797 2.068
2.061 3.306 10.199
2.061 2.552 6.013
2.061 0.012 3.295
2.061 -0.012 9.418
2.061 -2.552 12.135
2.061 -3.306 4.077
2.061 -3.797 8.191
2.061 -8.272 0.606
```

Results
The value obtained for the uncorrected formation energy is -1586.8 meV per atom. The value obtained for the density of states at the Fermi level is 0.07 states/eV per cell.

---

No. 10
Computed, not measured: IrOs2Pb after structural relaxation at the GGA-PBE level of DFT.

```
IrOs2Pb
1.0
2.892 0.000 0.000
0.000 4.779 0.000
0.000 0.000 4.840
Ir Os Pb
1 2 1
Cartesian
0.000 0.000 0.000
0.000 2.390 2.420
1.446 0.000 2.420
1.446 2.390 0.000
```

Results
The formation energy comes out at 0.943 eV per atom. The value obtained for the density of states at the Fermi level is 5.26 states/eV per cell.

---

No. 11
Computed, not measured: LaPr2Ag3 after structural relaxation at the GGA-PBE level of DFT.

```
LaPr2Ag3
1.0
3.775 0.000 0.000
0.000 3.775 0.000
0.000 0.000 11.523
La Pr Ag
1 2 3
Cartesian
0.000 0.000 0.000
0.000 0.000 3.854
0.000 0.000 7.669
1.888 1.888 1.970
1.888 1.888 5.761
1.888 1.888 9.552
```

Results
The formation energy comes out at -0.250 eV per atom. The value obtained for the density of states at the Fermi level is 5.51 states/eV per cell.

---

No. 12
Computed, not measured: AlAg2Hg2 after structural relaxation at the GGA-PBE level of DFT.

```
AlAg2Hg2
1.0
7.101 0.000 0.000
0.000 7.101 0.000
0.000 0.000 4.176
Al Ag Hg
2 4 4
Cartesian
0.000 0.000 0.000
3.551 3.551 0.000
1.035 2.516 0.000
2.516 6.066 0.000
4.586 1.035 0.000
6.066 4.586 0.000
1.129 4.680 2.088
2.421 1.129 2.088
4.680 5.972 2.088
5.972 2.421 2.088
```

Results
The formation energy comes out at 0.178 eV per atom. The calculation puts the energy above the most stable polymorph in this dataset at 0 meV per atom. The value obtained for the density of states at the Fermi level is 3.91 states/eV per cell.